# CsKCdI4 | Alexandria via LeMat-Bulk | PBE | optimized geometry
data_CsKCdI4
_symmetry_space_group_name_H-M 'P 1 21/m 1'
_symmetry_Int_Tables_number 11
_cell_length_a 8.324
_cell_length_b 8.455
_cell_length_c 10.475
_cell_angle_alpha 90.00
_cell_angle_beta 107.87
_cell_angle_gamma 90.00
loop_
_symmetry_equiv_pos_as_xyz
'x,y,z'
'-x,-y,-z'
'-x,y+1/2,-z'
'x,-y+1/2,z'
loop_
_atom_site_label
_atom_site_type_symbol
_atom_site_fract_x
_atom_site_fract_y
_atom_site_fract_z
Cs1 Cs 0.249 0.250 0.439
K1 K 0.269 0.250 0.943
Cd1 Cd 0.278 0.750 0.184
I1 I 0.071 0.750 0.917
I2 I 0.089 0.750 0.366
I3 I 0.493 0.508 0.764
# ΔE_f (raw)	-1.14	eV per atom

# CsK2CdI5 | Alexandria via LeMat-Bulk | PBE | optimized geometry
data_CsK2CdI5
_symmetry_space_group_name_H-M 'I 4/m c m'
_symmetry_Int_Tables_number 140
_symmetry_space_group_name_Hall '-I 4 2c'
_cell_length_a 9.929
_cell_length_b 9.929
_cell_length_c 16.809
_cell_angle_alpha 90.00
_cell_angle_beta 90.00
_cell_angle_gamma 90.00
loop_
_atom_site_label
_atom_site_type_symbol
_atom_site_fract_x
_atom_site_fract_y
_atom_site_fract_z
Cs1 Cs 0.000 0.000 0.250
K1 K 0.156 0.344 0.000
Cd1 Cd 0.000 0.500 0.250
I1 I 0.000 0.000 0.000
I2 I 0.153 0.347 0.358
# ΔE_f (raw)	-1.19	eV per atom

# CsK2CdI | Alexandria via LeMat-Bulk | PBE | optimized geometry
data_CsK2CdI
_symmetry_space_group_name_H-M 'P 4/m m m'
_symmetry_Int_Tables_number 123
_symmetry_space_group_name_Hall '-P 4 2'
_cell_length_a 8.106
_cell_length_b 8.106
_cell_length_c 7.300
_cell_angle_alpha 90.00
_cell_angle_beta 90.00
_cell_angle_gamma 90.00
loop_
_atom_site_label
_atom_site_type_symbol
_atom_site_fract_x
_atom_site_fract_y
_atom_site_fract_z
Cs1 Cs 0.000 0.000 0.000
K1 K 0.000 0.500 0.000
Cd1 Cd 0.000 0.000 0.500
I1 I 0.500 0.500 0.500
# ΔE_f (raw)	0.05	eV per atom

# Cs2LaCdI6 | Alexandria via LeMat-Bulk | PBE | optimized geometry
data_Cs2LaCdI6
_symmetry_space_group_name_H-M 'P m m n'
_symmetry_Int_Tables_number 59
_cell_length_a 9.020
_cell_length_b 12.729
_cell_length_c 9.004
_cell_angle_alpha 90.00
_cell_angle_beta 90.00
_cell_angle_gamma 90.00
loop_
_symmetry_equiv_pos_as_xyz
'x,y,z'
'-x,-y,-z'
'-x+1/2,-y+1/2,z'
'x+1/2,y+1/2,-z'
'x+1/2,-y,-z'
'-x+1/2,y,z'
'-x,y+1/2,-z'
'x,-y+1/2,z'
loop_
_atom_site_label
_atom_site_type_symbol
_atom_site_fract_x
_atom_site_fract_y
_atom_site_fract_z
Cs1 Cs 0.250 0.011 0.240
La1 La 0.250 0.250 0.746
Cd1 Cd 0.250 0.750 0.752
I1 I 0.002 0.250 0.994
I2 I 0.006 0.250 0.494
I3 I 0.250 0.002 0.754
# ΔE_f (raw)	-1.24	eV per atom

# Cs2LaCdI6 | Alexandria via LeMat-Bulk | PBE | optimized geometry
data_Cs2LaCdI6
_symmetry_space_group_name_H-M 'I 4/m m m'
_symmetry_Int_Tables_number 139
_symmetry_space_group_name_Hall '-I 4 2'
_cell_length_a 9.009
_cell_length_b 9.009
_cell_length_c 12.717
_cell_angle_alpha 90.00
_cell_angle_beta 90.00
_cell_angle_gamma 90.00
loop_
_atom_site_label
_atom_site_type_symbol
_atom_site_fract_x
_atom_site_fract_y
_atom_site_fract_z
Cs1 Cs 0.000 0.500 0.250
La1 La 0.000 0.000 0.000
Cd1 Cd 0.000 0.000 0.500
I1 I 0.000 0.000 0.249
I2 I 0.248 0.248 0.000
# ΔE_f (raw)	-1.24	eV per atom

# CsLi2Cd2I7 | Alexandria via LeMat-Bulk | PBE | optimized geometry
data_CsLi2Cd2I7
_symmetry_space_group_name_H-M 'R 3 2'
_symmetry_Int_Tables_number 155
_symmetry_space_group_name_Hall 'R 3 2"'
_cell_length_a 8.0554
_cell_length_b 8.0554
_cell_length_c 39.0152
_cell_angle_alpha 90.00
_cell_angle_beta 90.00
_cell_angle_gamma 120.00
loop_
_atom_site_label
_atom_site_type_symbol
_atom_site_fract_x
_atom_site_fract_y
_atom_site_fract_z
Cs1 Cs 0.0000 0.0000 0.0000
Li1 Li 0.0000 0.0000 0.2493
Cd1 Cd 0.0000 0.0000 0.4259
I1 I 0.0000 0.0000 0.5000
I2 I 0.0014 0.3313 0.7394
# ΔE_f (raw)	-0.91	eV per atom

# Cs2Li2CdI6 | Alexandria via LeMat-Bulk | PBE | optimized geometry
data_Cs2Li2CdI6
_symmetry_space_group_name_H-M 'C 1 2/m 1'
_symmetry_Int_Tables_number 12
_cell_length_a 14.910
_cell_length_b 8.503
_cell_length_c 8.773
_cell_angle_alpha 90.00
_cell_angle_beta 116.26
_cell_angle_gamma 90.00
loop_
_symmetry_equiv_pos_as_xyz
'x,y,z'
'-x,-y,-z'
'-x,y,-z'
'x,-y,z'
'x+1/2,y+1/2,z'
'-x+1/2,-y+1/2,-z'
'-x+1/2,y+1/2,-z'
'x+1/2,-y+1/2,z'
loop_
_atom_site_label
_atom_site_type_symbol
_atom_site_fract_x
_atom_site_fract_y
_atom_site_fract_z
Cs1 Cs 0.212 0.000 0.182
Li1 Li 0.075 0.500 0.284
Cd1 Cd 0.000 0.000 0.500
I1 I 0.035 0.241 0.772
I2 I 0.233 0.000 0.640
# ΔE_f (raw)	-1.11	eV per atom

# Cs2MnCdI6 | Alexandria via LeMat-Bulk | PBE | optimized geometry
data_Cs2MnCdI6
_symmetry_space_group_name_H-M 'I 4/m m m'
_symmetry_Int_Tables_number 139
_symmetry_space_group_name_Hall '-I 4 2'
_cell_length_a 8.406
_cell_length_b 8.406
_cell_length_c 11.879
_cell_angle_alpha 90.00
_cell_angle_beta 90.00
_cell_angle_gamma 90.00
loop_
_atom_site_label
_atom_site_type_symbol
_atom_site_fract_x
_atom_site_fract_y
_atom_site_fract_z
Cs1 Cs 0.000 0.500 0.250
Mn1 Mn 0.000 0.000 0.000
Cd1 Cd 0.000 0.000 0.500
I1 I 0.000 0.000 0.246
I2 I 0.244 0.244 0.000
# distance to the lowest polymorph of the same formula	3	meV per atom
# ΔE_f (raw)	-0.89	eV per atom

Q: Among the records above, which one has the highest ΔE_f (raw)?
A: CsK2CdI

Q: Which of these has the highest ΔE_f (raw)?
A: CsK2CdI